Entry from Alexandria: a relaxed TbTmIn2 crystal (PBE).

Results
Symmetry   Fm-3m (225)
DOS(E_F)   7.31 states/eV/cell
ΔE_f   -0.450 eV per atom
Total energy   -4.094 eV per atom

a b c (Å): 7.4940 7.4940 7.4940
angles (deg): 90.00 90.00 90.00
With the nearest neighbours (Å) after each atom.
Fractional coordinates of all 16 atoms:
Tb 0.0000 0.0000 0.0000  8 In 3.24
Tb 0.0000 0.5000 0.5000  8 In 3.24
Tb 0.5000 0.0000 0.5000  8 In 3.24
Tb 0.5000 0.5000 0.0000  8 In 3.24
Tm 0.0000 0.0000 0.5000  8 In 3.24
Tm 0.0000 0.5000 0.0000  8 In 3.24
Tm 0.5000 0.0000 0.0000  8 In 3.24
Tm 0.5000 0.5000 0.5000  8 In 3.24
In 0.2500 0.2500 0.2500  4 Tb 3.24, 4 Tm 3.24
In 0.2500 0.2500 0.7500  4 Tb 3.24, 4 Tm 3.24
In 0.2500 0.7500 0.2500  4 Tb 3.24, 4 Tm 3.24
In 0.2500 0.7500 0.7500  4 Tb 3.24, 4 Tm 3.24
In 0.7500 0.2500 0.2500  4 Tb 3.24, 4 Tm 3.24
In 0.7500 0.2500 0.7500  4 Tb 3.24, 4 Tm 3.24
In 0.7500 0.7500 0.2500  4 Tb 3.24, 4 Tm 3.24
In 0.7500 0.7500 0.7500  4 Tb 3.24, 4 Tm 3.24

---

Entry from Alexandria: a relaxed CeZn2Sn crystal (PBE).

Results
Symmetry   P4/mmm (123)
DOS(E_F)   5.84 states/eV/cell
ΔE_f   -0.316 eV per atom
Total energy   -3.437 eV per atom

a b c (Å): 4.4571 4.4571 4.4817
angles (deg): 90.00 90.00 90.00
With the nearest neighbours (Å) after each atom.
Fractional coordinates of all 4 atoms:
Ce 0.0000 0.0000 0.0000  4 Sn 3.15, 8 Zn 3.16
Zn 0.0000 0.5000 0.5000  4 Zn 3.15, 4 Sn 3.16, 4 Ce 3.16
Zn 0.5000 0.0000 0.5000  4 Zn 3.15, 4 Sn 3.16, 4 Ce 3.16
Sn 0.5000 0.5000 0.0000  4 Ce 3.15, 8 Zn 3.16

---

Entry from Alexandria: a relaxed Ag4PbF7 crystal (PBE).

Results
Symmetry   Cm (8)
DOS(E_F)   9.15 states/eV/cell
Formation energy without anion corrections   -1.341 eV per atom
Total energy   -3.692 eV per atom

a b c (Å): 5.9527 5.9527 10.1054
angles (deg): 104.42 104.42 34.63
With the nearest neighbours (Å) after each atom.
Fractional coordinates of all 12 atoms:
Ag 0.0000 0.0000 0.0000  5 F 2.34-2.59
Ag 0.2876 0.2876 0.1555  6 F 2.23-2.47
Ag 0.3752 0.3752 0.5374  2 F 2.27-2.33
Ag 0.5709 0.5709 0.3550  6 F 2.46-2.59
Pb 0.1630 0.1630 0.7451  5 F 2.31-2.45
F 0.0345 0.0345 0.5264  1 Pb 2.31, 4 Ag 2.56-2.59
F 0.2196 0.2196 0.3438  4 Ag 2.23-2.47
F 0.3610 0.3610 0.9679  3 Ag 2.26-2.34
F 0.5156 0.5156 0.7522  1 Ag 2.33, 2 Pb 2.45
F 0.6383 0.6383 0.0586  4 Ag 2.34-2.47
F 0.7527 0.7527 0.6367  2 Pb 2.44, 2 Ag 2.61
F 0.9379 0.9379 0.2288  5 Ag 2.44-2.59

---

Entry from Alexandria: a relaxed SrInTc2Sb crystal (PBE).

Results
Symmetry   P4/mmm (123)
DOS(E_F)   5.39 states/eV/cell
Formation energy without anion corrections   0.987 eV per atom
Total energy   -4.868 eV per atom

a b c (Å): 5.0278 5.0278 5.6327
angles (deg): 90.00 90.00 90.00
With the nearest neighbours (Å) after each atom.
Fractional coordinates of all 5 atoms:
Sr 0.0000 0.0000 0.0000  4 In 3.56, 8 Tc 3.78
In 0.5000 0.5000 0.0000  2 Sb 2.82
Tc 0.0000 0.5000 0.5000  2 Sb 2.51
Tc 0.5000 0.0000 0.5000  2 Sb 2.51
Sb 0.5000 0.5000 0.5000  4 Tc 2.51

---

Entry from Alexandria: a relaxed CePm4Pr15 crystal (PBE).

Results
Symmetry   P4/mmm (123)
DOS(E_F)   34.80 states/eV/cell
ΔE_f   0.028 eV per atom
Total energy   -4.804 eV per atom

a b c (Å): 5.2363 5.2363 26.0985
angles (deg): 90.00 90.00 90.00
With the nearest neighbours (Å) after each atom.
Fractional coordinates of all 20 atoms:
Ce 0.0000 0.0000 0.0000  12 Pr 3.66-3.70
Pm 0.0000 0.0000 0.1993  12 Pr 3.70-3.72
Pm 0.0000 0.0000 0.3999  12 Pr 3.70-3.71
Pm 0.0000 0.0000 0.6001  12 Pr 3.70-3.71
Pm 0.0000 0.0000 0.8007  12 Pr 3.70-3.72
Pr 0.0000 0.5000 0.0982  2 Ce 3.66, 8 Pr 3.66-3.73, 2 Pm 3.72
Pr 0.0000 0.5000 0.2994  8 Pr 3.68-3.71, 4 Pm 3.70-3.71
Pr 0.0000 0.5000 0.5000  8 Pr 3.70, 4 Pm 3.70
Pr 0.0000 0.5000 0.7006  8 Pr 3.68-3.71, 4 Pm 3.70-3.71
Pr 0.0000 0.5000 0.9018  2 Ce 3.66, 8 Pr 3.66-3.73, 2 Pm 3.72
Pr 0.5000 0.0000 0.0982  2 Ce 3.66, 8 Pr 3.66-3.73, 2 Pm 3.72
Pr 0.5000 0.0000 0.2994  8 Pr 3.68-3.71, 4 Pm 3.70-3.71
Pr 0.5000 0.0000 0.5000  8 Pr 3.70, 4 Pm 3.70
Pr 0.5000 0.0000 0.7006  8 Pr 3.68-3.71, 4 Pm 3.70-3.71
Pr 0.5000 0.0000 0.9018  2 Ce 3.66, 8 Pr 3.66-3.73, 2 Pm 3.72
Pr 0.5000 0.5000 0.0000  8 Pr 3.66, 4 Ce 3.70
Pr 0.5000 0.5000 0.2001  8 Pr 3.68-3.73, 4 Pm 3.70
Pr 0.5000 0.5000 0.4001  8 Pr 3.70-3.71, 4 Pm 3.70
Pr 0.5000 0.5000 0.5999  8 Pr 3.70-3.71, 4 Pm 3.70
Pr 0.5000 0.5000 0.7999  8 Pr 3.68-3.73, 4 Pm 3.70

---

Entry from Alexandria: a relaxed Ce2HfAg crystal (PBE).

Results
Symmetry   R-3m (166)
DOS(E_F)   26.45 states/eV/cell
ΔE_f   0.210 eV per atom
Total energy   -5.958 eV per atom

a b c (Å): 3.0447 3.0447 34.6152
angles (deg): 90.00 90.00 120.00
With the nearest neighbours (Å) after each atom.
Fractional coordinates of all 12 atoms:
Ce 0.0000 0.0000 0.0860  1 Hf 2.98, 6 Ce 3.04, 3 Ag 3.30
Ce 0.0000 0.0000 0.9140  1 Hf 2.98, 6 Ce 3.04, 3 Ag 3.30
Ce 0.3333 0.6667 0.5806  1 Hf 2.98, 6 Ce 3.04, 3 Ag 3.30
Ce 0.3333 0.6667 0.7527  1 Hf 2.98, 6 Ce 3.04, 3 Ag 3.30
Ce 0.6667 0.3333 0.2473  1 Hf 2.98, 6 Ce 3.04, 3 Ag 3.30
Ce 0.6667 0.3333 0.4194  1 Hf 2.98, 6 Ce 3.04, 3 Ag 3.30
Hf 0.0000 0.0000 0.0000  2 Ce 2.98, 6 Hf 3.04
Hf 0.3333 0.6667 0.6667  2 Ce 2.98, 6 Hf 3.04
Hf 0.6667 0.3333 0.3333  2 Ce 2.98, 6 Hf 3.04
Ag 0.0000 0.0000 0.5000  6 Ag 3.04, 6 Ce 3.30
Ag 0.3333 0.6667 0.1667  6 Ag 3.04, 6 Ce 3.30
Ag 0.6667 0.3333 0.8333  6 Ag 3.04, 6 Ce 3.30

---

Entry from Alexandria: a relaxed HgTeBr2 crystal (PBE).

Results
Symmetry   P4mm (99)
DOS(E_F)   2.51 states/eV/cell
Formation energy without anion corrections   0.120 eV per atom
Total energy   -1.577 eV per atom

a b c (Å): 3.6827 3.6827 8.7260
angles (deg): 90.00 90.00 90.00
With the nearest neighbours (Å) after each atom.
Fractional coordinates of all 4 atoms:
Hg 0.0000 0.0000 0.0000  4 Br 3.05, 4 Te 3.29
Te 0.5000 0.5000 0.2306  4 Br 3.18, 4 Hg 3.29
Br 0.0000 0.0000 0.4399  4 Te 3.18
Br 0.5000 0.5000 0.8175  4 Hg 3.05

---

Entry from Alexandria: a relaxed CuH3Os crystal (PBE).

Results
Symmetry   Pm-3m (221)
DOS(E_F)   1.71 states/eV/cell
Total energy   -4.253 eV per atom

a b c (Å): 3.2814 3.2814 3.2814
angles (deg): 90.00 90.00 90.00
With the nearest neighbours (Å) after each atom.
Fractional coordinates of all 5 atoms:
Cu 0.0000 0.0000 0.0000  6 H 1.64
H 0.0000 0.0000 0.5000  2 Cu 1.64
H 0.0000 0.5000 0.0000  2 Cu 1.64
H 0.5000 0.0000 0.0000  2 Cu 1.64
Os 0.5000 0.5000 0.5000  12 H 2.32

---

Entry from Alexandria: a relaxed CoCuAu2 crystal (PBE).

Results
Symmetry   F-43m (216)
DOS(E_F)   26.11 states/eV/cell
ΔE_f   0.263 eV per atom
Total energy   -4.176 eV per atom

a b c (Å): 6.2516 6.2516 6.2516
angles (deg): 90.00 90.00 90.00
With the nearest neighbours (Å) after each atom.
Fractional coordinates of all 16 atoms:
Co 0.0000 0.0000 0.0000  4 Cu 2.71, 4 Au 2.71
Co 0.0000 0.5000 0.5000  4 Cu 2.71, 4 Au 2.71
Co 0.5000 0.0000 0.5000  4 Cu 2.71, 4 Au 2.71
Co 0.5000 0.5000 0.0000  4 Cu 2.71, 4 Au 2.71
Cu 0.2500 0.2500 0.7500  4 Au 2.71, 4 Co 2.71
Cu 0.2500 0.7500 0.2500  4 Au 2.71, 4 Co 2.71
Cu 0.7500 0.2500 0.2500  4 Au 2.71, 4 Co 2.71
Cu 0.7500 0.7500 0.7500  4 Au 2.71, 4 Co 2.71
Au 0.0000 0.0000 0.5000  4 Au 2.71, 4 Cu 2.71
Au 0.0000 0.5000 0.0000  4 Au 2.71, 4 Cu 2.71
Au 0.2500 0.2500 0.2500  4 Co 2.71, 4 Au 2.71
Au 0.2500 0.7500 0.7500  4 Co 2.71, 4 Au 2.71
Au 0.5000 0.0000 0.0000  4 Au 2.71, 4 Cu 2.71
Au 0.5000 0.5000 0.5000  4 Au 2.71, 4 Cu 2.71
Au 0.7500 0.2500 0.7500  4 Co 2.71, 4 Au 2.71
Au 0.7500 0.7500 0.2500  4 Co 2.71, 4 Au 2.71

---

Entry from Alexandria: a relaxed KY2Hg crystal (PBE).

Results
Symmetry   F-43m (216)
DOS(E_F)   20.59 states/eV/cell
ΔE_f   0.363 eV per atom
Total energy   -3.219 eV per atom

a b c (Å): 8.0039 8.0039 8.0039
angles (deg): 90.00 90.00 90.00
With the nearest neighbours (Å) after each atom.
Fractional coordinates of all 16 atoms:
K 0.0000 0.0000 0.0000  4 Hg 3.47, 4 Y 3.47
K 0.0000 0.5000 0.5000  4 Hg 3.47, 4 Y 3.47
K 0.5000 0.0000 0.5000  4 Hg 3.47, 4 Y 3.47
K 0.5000 0.5000 0.0000  4 Hg 3.47, 4 Y 3.47
Y 0.0000 0.0000 0.5000  4 Hg 3.47, 4 Y 3.47
Y 0.0000 0.5000 0.0000  4 Hg 3.47, 4 Y 3.47
Y 0.2500 0.2500 0.2500  4 K 3.47, 4 Y 3.47
Y 0.2500 0.7500 0.7500  4 K 3.47, 4 Y 3.47
Y 0.5000 0.0000 0.0000  4 Hg 3.47, 4 Y 3.47
Y 0.5000 0.5000 0.5000  4 Hg 3.47, 4 Y 3.47
Y 0.7500 0.2500 0.7500  4 K 3.47, 4 Y 3.47
Y 0.7500 0.7500 0.2500  4 K 3.47, 4 Y 3.47
Hg 0.2500 0.2500 0.7500  4 K 3.47, 4 Y 3.47
Hg 0.2500 0.7500 0.2500  4 K 3.47, 4 Y 3.47
Hg 0.7500 0.2500 0.2500  4 K 3.47, 4 Y 3.47
Hg 0.7500 0.7500 0.7500  4 K 3.47, 4 Y 3.47

---

Entry from Alexandria: a relaxed Li3SbPd4 crystal (PBE).

Results
Symmetry   Imm2 (44)
DOS(E_F)   7.60 states/eV/cell
Formation energy without anion corrections   -0.382 eV per atom
Total energy   -4.211 eV per atom

a b c (Å): 5.4425 9.3024 4.9137
angles (deg): 90.00 90.00 90.00
With the nearest neighbours (Å) after each atom.
Fractional coordinates of all 16 atoms:
Li 0.0000 0.0000 0.0000  2 Li 2.53, 6 Pd 2.64-2.83, 2 Sb 2.72
Li 0.0000 0.2465 0.7812  4 Pd 2.45-2.72, 1 Li 2.53
Li 0.0000 0.7535 0.7812  4 Pd 2.45-2.72, 1 Li 2.53
Li 0.5000 0.2535 0.2812  4 Pd 2.45-2.72, 1 Li 2.53
Li 0.5000 0.5000 0.5000  2 Li 2.53, 6 Pd 2.64-2.83, 2 Sb 2.72
Li 0.5000 0.7465 0.2812  4 Pd 2.45-2.72, 1 Li 2.53
Sb 0.0000 0.5000 0.4890  6 Pd 2.61-2.84, 4 Li 2.72-2.76
Sb 0.5000 0.0000 0.9890  6 Pd 2.61-2.84, 4 Li 2.72-2.76
Pd 0.0000 0.2423 0.2804  5 Li 2.45-2.72, 1 Sb 2.61
Pd 0.0000 0.7577 0.2804  5 Li 2.45-2.72, 1 Sb 2.61
Pd 0.2494 0.0000 0.4952  4 Pd 2.71-2.84, 2 Sb 2.78-2.84, 6 Li 2.79-3.01
Pd 0.2506 0.5000 0.9952  4 Pd 2.71-2.84, 2 Sb 2.78-2.84, 6 Li 2.79-3.01
Pd 0.5000 0.2577 0.7804  5 Li 2.45-2.72, 1 Sb 2.61
Pd 0.5000 0.7423 0.7804  5 Li 2.45-2.72, 1 Sb 2.61
Pd 0.7494 0.5000 0.9952  4 Pd 2.71-2.84, 2 Sb 2.78-2.84, 6 Li 2.79-3.01
Pd 0.7506 0.0000 0.4952  4 Pd 2.71-2.84, 2 Sb 2.78-2.84, 6 Li 2.79-3.01

---

Entry from Alexandria: a relaxed HfScTcNi crystal (PBE).

Results
Symmetry   F-43m (216)
DOS(E_F)   8.75 states/eV/cell
ΔE_f   -0.447 eV per atom
Total energy   -8.555 eV per atom

a b c (Å): 6.4257 6.4257 6.4257
angles (deg): 90.00 90.00 90.00
With the nearest neighbours (Å) after each atom.
Fractional coordinates of all 16 atoms:
Hf 0.0000 0.0000 0.0000  4 Tc 2.78, 4 Ni 2.78
Hf 0.0000 0.5000 0.5000  4 Tc 2.78, 4 Ni 2.78
Hf 0.5000 0.0000 0.5000  4 Tc 2.78, 4 Ni 2.78
Hf 0.5000 0.5000 0.0000  4 Tc 2.78, 4 Ni 2.78
Sc 0.0000 0.0000 0.5000  4 Tc 2.78, 4 Ni 2.78
Sc 0.0000 0.5000 0.0000  4 Tc 2.78, 4 Ni 2.78
Sc 0.5000 0.0000 0.0000  4 Tc 2.78, 4 Ni 2.78
Sc 0.5000 0.5000 0.5000  4 Tc 2.78, 4 Ni 2.78
Tc 0.2500 0.2500 0.2500  4 Hf 2.78, 4 Sc 2.78
Tc 0.2500 0.7500 0.7500  4 Hf 2.78, 4 Sc 2.78
Tc 0.7500 0.2500 0.7500  4 Hf 2.78, 4 Sc 2.78
Tc 0.7500 0.7500 0.2500  4 Hf 2.78, 4 Sc 2.78
Ni 0.2500 0.2500 0.7500  4 Hf 2.78, 4 Sc 2.78
Ni 0.2500 0.7500 0.2500  4 Hf 2.78, 4 Sc 2.78
Ni 0.7500 0.2500 0.2500  4 Hf 2.78, 4 Sc 2.78
Ni 0.7500 0.7500 0.7500  4 Hf 2.78, 4 Sc 2.78

---

Question: Which value of DOS(E_F) does entry 5 give?
Answer: 34.80 states/eV/cell